(1)
# La2TbNd6 GGA-PBE optimized geometry
# Density of states at the Fermi level, states/eV per cell: 16.1
# ΔH_f (0 K), eV/atom: 0.060
data_La2TbNd6
_chemical_formula_sum 'La2 Tb1 Nd6'
_cell_length_a 3.675
_cell_length_b 3.675
_cell_length_c 27.458
_cell_angle_alpha 90.00
_cell_angle_beta 90.00
_cell_angle_gamma 120.00
_symmetry_space_group_name_H-M 'P 1'
_symmetry_Int_Tables_number 1
loop_
_symmetry_equiv_pos_as_xyz
'x,y,z'
loop_
_atom_site_label
_atom_site_type_symbol
_atom_site_fract_x
_atom_site_fract_y
_atom_site_fract_z
_atom_site_occupancy
Nd1 Nd 0.667 0.333 0.894 1
Nd2 Nd 0.667 0.333 0.106 1
Nd3 Nd 0.333 0.667 0.215 1
Nd4 Nd 0.333 0.667 0.562 1
Nd5 Nd 0.333 0.667 0.785 1
Nd6 Nd 0.333 0.667 0.438 1
La1 La 0.667 0.333 0.670 1
La2 La 0.667 0.333 0.330 1
Tb1 Tb 0.333 0.667 0.000 1



(2)
# La2TbNd GGA-PBE optimized geometry
# Density of states at the Fermi level, states/eV per cell: 6.7
# ΔH_f (0 K), eV/atom: 0.020
data_La2TbNd
_chemical_formula_sum 'La2 Tb1 Nd1'
_cell_length_a 3.691
_cell_length_b 3.691
_cell_length_c 12.177
_cell_angle_alpha 81.28
_cell_angle_beta 81.28
_cell_angle_gamma 60.00
_symmetry_space_group_name_H-M 'P 1'
_symmetry_Int_Tables_number 1
loop_
_symmetry_equiv_pos_as_xyz
'x,y,z'
loop_
_atom_site_label
_atom_site_type_symbol
_atom_site_fract_x
_atom_site_fract_y
_atom_site_fract_z
_atom_site_occupancy
Nd1 Nd 0.499 0.499 0.503 1
Tb1 Tb 0.667 0.667 0.998 1
La1 La 0.082 0.082 0.753 1
La2 La 0.251 0.251 0.247 1



(3)
# La2Tb3Nd5 GGA-PBE optimized geometry
# Density of states at the Fermi level, states/eV per cell: 34.6
# ΔH_f (0 K), eV/atom: 0.177
data_La2Tb3Nd5
_chemical_formula_sum 'La4 Tb6 Nd10'
_cell_length_a 9.764
_cell_length_b 9.788
_cell_length_c 9.634
_cell_angle_alpha 109.21
_cell_angle_beta 109.11
_cell_angle_gamma 110.68
_symmetry_space_group_name_H-M 'P 1'
_symmetry_Int_Tables_number 1
loop_
_symmetry_equiv_pos_as_xyz
'x,y,z'
loop_
_atom_site_label
_atom_site_type_symbol
_atom_site_fract_x
_atom_site_fract_y
_atom_site_fract_z
_atom_site_occupancy
Tb1 Tb 0.233 0.778 0.244 1
Tb2 Tb 0.728 0.978 0.957 1
Tb3 Tb 0.272 0.022 0.043 1
Tb4 Tb 0.767 0.222 0.756 1
Tb5 Tb 0.489 0.534 0.756 1
Tb6 Tb 0.511 0.466 0.244 1
Nd1 Nd 0.889 0.616 0.763 1
Nd2 Nd 0.522 0.772 0.544 1
Nd3 Nd 0.019 0.269 0.537 1
Nd4 Nd 0.111 0.384 0.237 1
Nd5 Nd 0.374 0.147 0.763 1
Nd6 Nd 0.478 0.228 0.456 1
Nd7 Nd 0.981 0.731 0.463 1
Nd8 Nd 0.782 0.532 0.063 1
Nd9 Nd 0.218 0.468 0.937 1
Nd10 Nd 0.626 0.853 0.237 1
La1 La 0.716 0.271 0.248 1
La2 La 0.032 0.977 0.248 1
La3 La 0.968 0.023 0.752 1
La4 La 0.284 0.729 0.752 1



What is the ΔH_f (0 K) in the third record? 0.177 eV/atom